Record 1
{
  "formula": "PdRu",
  "functional": "PBE",
  "state": "relaxed",
  "cell": [[5.077, 0.000, 0.000], [0.000, 5.077, 0.000], [0.000, 0.000, 5.208]],
  "species": ["Pd", "Pd", "Pd", "Pd", "Ru", "Ru", "Ru", "Ru"],
  "frac_coords": [[0.180, 0.180, 0.000], [0.320, 0.680, 0.500], [0.680, 0.320, 0.500], [0.820, 0.820, 0.000], [0.171, 0.171, 0.500], [0.329, 0.671, 0.000], [0.671, 0.329, 0.000], [0.829, 0.829, 0.500]],
  "m_tot_mub_per_cell": 4.4,
  "dos_ef_per_ev_cell": 14.04,
  "e_form_ev_per_atom": 0.908,
  "dft_energy_ev_per_cell": -50.611
}


Record 2
{
  "formula": "Pd2Ru",
  "functional": "PBE",
  "state": "relaxed",
  "cell": [[2.759, 0.000, 0.000], [0.000, 2.759, 0.000], [0.000, 0.000, 11.720]],
  "species": ["Pd", "Pd", "Pd", "Pd", "Ru", "Ru"],
  "frac_coords": [[0.000, 0.000, 0.161], [0.000, 0.000, 0.839], [0.500, 0.500, 0.339], [0.500, 0.500, 0.661], [0.000, 0.000, 0.500], [0.500, 0.500, 0.000]],
  "m_tot_mub_per_cell": 1.0,
  "dos_ef_per_ev_cell": 10.59,
  "e_form_ev_per_atom": 0.166,
  "dft_energy_ev_per_cell": -38.325
}


Record 3
{
  "formula": "PdRu",
  "functional": "PBE",
  "state": "relaxed",
  "cell": [[10.429, 0.000, 0.000], [0.000, 10.429, 0.000], [0.000, 0.000, 2.687]],
  "species": ["Pd", "Pd", "Pd", "Pd", "Pd", "Pd", "Pd", "Pd", "Ru", "Ru", "Ru", "Ru", "Ru", "Ru", "Ru", "Ru"],
  "frac_coords": [[0.045, 0.181, 0.000], [0.181, 0.955, 0.000], [0.319, 0.545, 0.500], [0.455, 0.319, 0.500], [0.545, 0.681, 0.500], [0.681, 0.455, 0.500], [0.819, 0.045, 0.000], [0.955, 0.819, 0.000], [0.164, 0.695, 0.000], [0.195, 0.336, 0.500], [0.305, 0.164, 0.000], [0.336, 0.805, 0.500], [0.664, 0.195, 0.500], [0.695, 0.836, 0.000], [0.805, 0.664, 0.500], [0.836, 0.305, 0.000]],
  "m_tot_mub_per_cell": 0.0,
  "dos_ef_per_ev_cell": 21.67,
  "e_form_ev_per_atom": 0.787,
  "dft_energy_ev_per_cell": -103.151
}


Record 4
{
  "formula": "PdRu",
  "functional": "PBE",
  "state": "relaxed",
  "cell": [[2.731, 0.000, 0.000], [-1.366, 2.365, 0.000], [0.000, 0.000, 13.528]],
  "species": ["Pd", "Pd", "Pd", "Ru", "Ru", "Ru"],
  "frac_coords": [[0.000, 0.000, 0.000], [0.333, 0.667, 0.667], [0.667, 0.333, 0.333], [0.000, 0.000, 0.500], [0.333, 0.667, 0.167], [0.667, 0.333, 0.833]],
  "m_tot_mub_per_cell": 0.0,
  "dos_ef_per_ev_cell": 9.64,
  "e_form_ev_per_atom": 0.226,
  "dft_energy_ev_per_cell": -42.048
}


Record 5
{
  "formula": "PdRu",
  "functional": "PBE",
  "state": "relaxed",
  "cell": [[4.379, 0.000, 0.000], [0.000, 7.603, 0.000], [0.000, 0.000, 5.381]],
  "species": ["Pd", "Pd", "Pd", "Pd", "Pd", "Pd", "Ru", "Ru", "Ru", "Ru", "Ru", "Ru"],
  "frac_coords": [[0.000, 0.000, 0.000], [0.000, 0.330, 0.258], [0.000, 0.670, 0.258], [0.500, 0.170, 0.758], [0.500, 0.500, 0.500], [0.500, 0.830, 0.758], [0.000, 0.000, 0.494], [0.000, 0.343, 0.760], [0.000, 0.657, 0.760], [0.500, 0.157, 0.260], [0.500, 0.500, 0.994], [0.500, 0.843, 0.260]],
  "m_tot_mub_per_cell": 0.0,
  "dos_ef_per_ev_cell": 15.94,
  "e_form_ev_per_atom": 0.352,
  "dft_energy_ev_per_cell": -82.593
}


Record 6
{
  "formula": "PdRu",
  "functional": "PBE",
  "state": "relaxed",
  "cell": [[6.893, 0.000, 0.000], [0.000, 6.893, 0.000], [0.000, 0.000, 6.893]],
  "species": ["Pd", "Pd", "Pd", "Pd", "Pd", "Pd", "Ru", "Ru", "Ru", "Ru", "Ru", "Ru"],
  "frac_coords": [[0.000, 0.250, 0.500], [0.000, 0.750, 0.500], [0.250, 0.500, 0.000], [0.500, 0.000, 0.250], [0.500, 0.000, 0.750], [0.750, 0.500, 0.000], [0.000, 0.500, 0.250], [0.000, 0.500, 0.750], [0.250, 0.000, 0.500], [0.500, 0.250, 0.000], [0.500, 0.750, 0.000], [0.750, 0.000, 0.500]],
  "m_tot_mub_per_cell": 6.4,
  "dos_ef_per_ev_cell": 16.75,
  "e_form_ev_per_atom": 1.710,
  "dft_energy_ev_per_cell": -66.296
}


Record 7
{
  "formula": "PdRu",
  "functional": "PBE",
  "state": "relaxed",
  "cell": [[2.742, 0.000, 0.000], [0.000, 3.823, 0.000], [0.000, 0.000, 5.565]],
  "species": ["Pd", "Pd", "Ru", "Ru"],
  "frac_coords": [[0.250, 0.250, 0.128], [0.750, 0.750, 0.872], [0.250, 0.250, 0.610], [0.750, 0.750, 0.390]],
  "m_tot_mub_per_cell": 0.0,
  "dos_ef_per_ev_cell": 4.12,
  "e_form_ev_per_atom": 0.123,
  "dft_energy_ev_per_cell": -28.446
}


Record 8
{
  "formula": "PdRu",
  "functional": "PBE",
  "state": "relaxed",
  "cell": [[11.490, 0.000, 0.000], [-5.745, 9.951, 0.000], [0.000, 0.000, 2.541]],
  "species": ["Pd", "Pd", "Pd", "Pd", "Pd", "Pd", "Ru", "Ru", "Ru", "Ru", "Ru", "Ru"],
  "frac_coords": [[0.120, 0.671, 0.250], [0.329, 0.449, 0.250], [0.449, 0.120, 0.750], [0.551, 0.880, 0.250], [0.671, 0.551, 0.750], [0.880, 0.329, 0.750], [0.113, 0.452, 0.250], [0.339, 0.887, 0.250], [0.452, 0.339, 0.750], [0.548, 0.661, 0.250], [0.661, 0.113, 0.750], [0.887, 0.548, 0.750]],
  "m_tot_mub_per_cell": 0.0,
  "dos_ef_per_ev_cell": 13.98,
  "e_form_ev_per_atom": 1.101,
  "dft_energy_ev_per_cell": -73.604
}


Record 9
{
  "formula": "PdRu",
  "functional": "PBE",
  "state": "relaxed",
  "cell": [[4.734, 0.000, 0.000], [0.000, 5.500, 0.000], [0.000, 0.000, 9.083]],
  "species": ["Pd", "Pd", "Pd", "Pd", "Pd", "Pd", "Pd", "Pd", "Ru", "Ru", "Ru", "Ru", "Ru", "Ru", "Ru", "Ru"],
  "frac_coords": [[0.150, 0.011, 0.369], [0.152, 0.246, 0.629], [0.348, 0.754, 0.129], [0.350, 0.989, 0.869], [0.650, 0.489, 0.631], [0.652, 0.254, 0.371], [0.848, 0.746, 0.871], [0.850, 0.511, 0.131], [0.157, 0.750, 0.623], [0.158, 0.525, 0.383], [0.342, 0.475, 0.883], [0.343, 0.250, 0.123], [0.657, 0.750, 0.377], [0.658, 0.975, 0.617], [0.842, 0.025, 0.117], [0.843, 0.250, 0.877]],
  "m_tot_mub_per_cell": 0.0,
  "dos_ef_per_ev_cell": 23.79,
  "e_form_ev_per_atom": 0.279,
  "dft_energy_ev_per_cell": -111.291
}


Record 10
{
  "formula": "PdRu",
  "functional": "PBE",
  "state": "relaxed",
  "cell": [[4.345, 0.000, 0.000], [-2.172, 3.763, 0.000], [0.000, 0.000, 5.117]],
  "species": ["Pd", "Pd", "Ru", "Ru"],
  "frac_coords": [[0.333, 0.667, 0.250], [0.667, 0.333, 0.750], [0.333, 0.667, 0.750], [0.667, 0.333, 0.250]],
  "m_tot_mub_per_cell": 3.6,
  "dos_ef_per_ev_cell": 7.94,
  "e_form_ev_per_atom": 1.401,
  "dft_energy_ev_per_cell": -23.331
}


Record 11
{
  "formula": "PdRu",
  "functional": "PBE",
  "state": "relaxed",
  "cell": [[3.868, 0.000, 0.000], [0.000, 3.868, 0.000], [0.000, 0.000, 7.757]],
  "species": ["Pd", "Pd", "Pd", "Pd", "Ru", "Ru", "Ru", "Ru"],
  "frac_coords": [[0.000, 0.250, 0.375], [0.000, 0.750, 0.625], [0.500, 0.250, 0.125], [0.500, 0.750, 0.875], [0.000, 0.250, 0.875], [0.000, 0.750, 0.125], [0.500, 0.250, 0.625], [0.500, 0.750, 0.375]],
  "m_tot_mub_per_cell": 0.0,
  "dos_ef_per_ev_cell": 8.26,
  "e_form_ev_per_atom": 0.194,
  "dft_energy_ev_per_cell": -56.324
}


Record 12
{
  "formula": "PdRu",
  "functional": "PBE",
  "state": "relaxed",
  "cell": [[5.205, 0.000, 0.000], [0.000, 5.205, 0.000], [0.000, 0.000, 5.205]],
  "species": ["Pd", "Pd", "Pd", "Pd", "Ru", "Ru", "Ru", "Ru"],
  "frac_coords": [[0.000, 0.000, 0.000], [0.000, 0.500, 0.500], [0.500, 0.000, 0.500], [0.500, 0.500, 0.000], [0.000, 0.000, 0.500], [0.000, 0.500, 0.000], [0.500, 0.000, 0.000], [0.500, 0.500, 0.500]],
  "m_tot_mub_per_cell": 9.1,
  "dos_ef_per_ev_cell": 12.23,
  "e_form_ev_per_atom": 1.160,
  "dft_energy_ev_per_cell": -48.597
}